VASP calculation (PBE) on P2PtIO after structural relaxation.

Computed properties:
E_form (uncorrected) = 1.160 eV per atom

Unit cell a=5.082 b=5.082 c=3.799 alpha=90.00 beta=90.00 gamma=90.00
Space group P4/mmm (No. 123)
Unique sites:
1 P 0.000 0.500 0.000 x2
2 Pt 0.000 0.000 0.500 x1
3 I 0.500 0.500 0.000 x1
4 O 0.500 0.500 0.500 x1